1:
The following is a DFT calculation (PBE) of Nb3CoB after structural relaxation.

Cell lengths 4.302, 4.302, 4.302 Å; angles 90.00, 90.00, 90.00 degrees
Fractional positions:
Nb 0.000 0.000 0.500
Nb 0.000 0.500 0.000
Nb 0.500 0.000 0.000
Co 0.500 0.500 0.500
B 0.000 0.000 0.000



2:
The following is a DFT calculation (PBE) of Nb3CoB after structural relaxation.

Cell lengths 4.511, 4.511, 4.511 Å; angles 90.00, 90.00, 90.00 degrees
Fractional positions:
Nb 0.000 0.000 0.500
Nb 0.000 0.500 0.000
Nb 0.500 0.000 0.000
Co 0.000 0.000 0.000
B 0.500 0.500 0.500



Stability, highest: 1



1:
The following is a DFT calculation (PBE) of NdCoB2 after structural relaxation.

Cell lengths 3.162, 5.348, 6.334 Å; angles 90.00, 90.58, 90.00 degrees
Fractional positions:
Nd 0.244 0.250 0.165
Nd 0.756 0.750 0.835
Co 0.254 0.250 0.662
Co 0.746 0.750 0.338
B 0.250 0.589 0.509
B 0.250 0.911 0.509
B 0.750 0.089 0.491
B 0.750 0.411 0.491



2:
The following is a DFT calculation (PBE) of NdCoB2 after structural relaxation.

Cell lengths 5.380, 5.380, 5.380 Å; angles 37.52, 37.52, 37.52 degrees
Fractional positions:
Nd 0.000 0.000 0.000
Co 0.500 0.500 0.500
B 0.186 0.186 0.186
B 0.814 0.814 0.814



Stability, highest: 1



1:
The following is a DFT calculation (PBE) of CoNiB2 after structural relaxation.

Cell lengths 5.438, 5.438, 5.438 Å; angles 131.97, 131.97, 70.27 degrees
Fractional positions:
Co 0.000 0.000 0.000
Co 0.750 0.250 0.500
Ni 0.250 0.750 0.500
Ni 0.500 0.500 0.000
B 0.115 0.625 0.990
B 0.375 0.365 0.490
B 0.635 0.125 0.010
B 0.875 0.885 0.510



2:
The following is a DFT calculation (PBE) of CoNiB2 after structural relaxation.

Cell lengths 3.541, 3.541, 3.541 Å; angles 60.00, 60.00, 60.00 degrees
Fractional positions:
Co 0.000 0.000 0.000
Ni 0.500 0.500 0.500
B 0.250 0.250 0.250
B 0.750 0.750 0.750



Stability, highest: 2